meta-GGA SCAN LiNbNiO4, single point on PBEsol structure; space group = Imma (74); raw formation energy = -2.2130 eV/atom; magnetization = 2.000 μB/f.u.; energy = -13.158 eV/atom
1.0
-2.971 3.072 4.163
2.971 -3.072 4.163
2.971 3.072 -4.163
Li Nb Ni O
2 2 2 8
Direct
0.385 0.135 0.250 Li
0.615 0.865 0.750 Li
0.000 0.500 0.500 Nb
0.500 0.500 0.000 Nb
0.000 0.000 0.500 Ni
0.000 0.500 0.000 Ni
0.212 0.737 0.475 O
0.237 0.263 0.975 O
0.253 0.278 0.525 O
0.253 0.728 0.975 O
0.747 0.272 0.025 O
0.747 0.722 0.475 O
0.763 0.737 0.025 O
0.788 0.263 0.525 O